No. 1
VASP calculation (PBE) on ScSiSbH2 after structural relaxation.

```
data_ScSiSbH2
_space_group_name_H-M_alt 'P 4/m m m'
_space_group_IT_number 123
_space_group_name_Hall '-P 4 2'
_cell_length_a 3.930
_cell_length_b 3.930
_cell_length_c 5.707
_cell_angle_alpha 90.00
_cell_angle_beta 90.00
_cell_angle_gamma 90.00
loop_
_atom_site_label
_atom_site_fract_x
_atom_site_fract_y
_atom_site_fract_z
Sc1 0.000 0.000 0.000
Si1 0.500 0.500 0.500
Sb1 0.500 0.500 0.000
H1 0.000 0.500 0.500
```

## Properties
As for the uncorrected energy: -4.30 eV/atom. Its density of states at the Fermi level is 0.9 states/eV per cell.



No. 2
VASP calculation (PBE) on Tb2Sc2Sb2H after structural relaxation.

```
data_Tb2Sc2Sb2H
_space_group_name_H-M_alt 'I 4/m m m'
_space_group_IT_number 139
_space_group_name_Hall '-I 4 2'
_cell_length_a 4.336
_cell_length_b 4.336
_cell_length_c 16.412
_cell_angle_alpha 90.00
_cell_angle_beta 90.00
_cell_angle_gamma 90.00
loop_
_atom_site_label
_atom_site_fract_x
_atom_site_fract_y
_atom_site_fract_z
Tb1 0.000 0.000 0.178
Sc1 0.000 0.500 0.000
Sb1 0.000 0.000 0.369
H1 0.000 0.000 0.000
```

## Properties
As for the uncorrected energy: -5.63 eV/atom. Its density of states at the Fermi level is 11.9 states/eV per cell.



No. 3
VASP calculation (PBE) on ScSbTe2H after structural relaxation.

```
data_ScSbTe2H
_space_group_name_H-M_alt 'P 4/m m m'
_space_group_IT_number 123
_space_group_name_Hall '-P 4 2'
_cell_length_a 5.387
_cell_length_b 5.387
_cell_length_c 3.840
_cell_angle_alpha 90.00
_cell_angle_beta 90.00
_cell_angle_gamma 90.00
loop_
_atom_site_label
_atom_site_fract_x
_atom_site_fract_y
_atom_site_fract_z
Sc1 0.000 0.000 0.000
Sb1 0.500 0.500 0.000
Te1 0.000 0.500 0.500
H1 0.500 0.500 0.500
```

## Properties
The polymorph energy (0 for the lowest one) comes out at 0.000 eV per atom. Its density of states at the Fermi level is 1.9 states/eV per cell.



No. 4
VASP calculation (PBE) on ScSb2TeH after structural relaxation.

```
data_ScSb2TeH
_space_group_name_H-M_alt 'P 4/m m m'
_space_group_IT_number 123
_space_group_name_Hall '-P 4 2'
_cell_length_a 5.515
_cell_length_b 5.515
_cell_length_c 5.509
_cell_angle_alpha 90.00
_cell_angle_beta 90.00
_cell_angle_gamma 90.00
loop_
_atom_site_label
_atom_site_fract_x
_atom_site_fract_y
_atom_site_fract_z
Sc1 0.000 0.000 0.000
Sb1 0.000 0.500 0.000
Te1 0.000 0.000 0.500
H1 0.500 0.500 0.500
```

## Properties
The polymorph energy (0 for the lowest one) comes out at 0.487 eV per atom. Its density of states at the Fermi level is 4.3 states/eV per cell.



No. 5
VASP calculation (PBE) on ScSb2TeH after structural relaxation.

```
data_ScSb2TeH
_space_group_name_H-M_alt 'P 4/m m m'
_space_group_IT_number 123
_space_group_name_Hall '-P 4 2'
_cell_length_a 4.357
_cell_length_b 4.357
_cell_length_c 5.831
_cell_angle_alpha 90.00
_cell_angle_beta 90.00
_cell_angle_gamma 90.00
loop_
_atom_site_label
_atom_site_fract_x
_atom_site_fract_y
_atom_site_fract_z
Sc1 0.000 0.000 0.000
Sb1 0.000 0.500 0.500
Te1 0.500 0.500 0.000
H1 0.500 0.500 0.500
```

## Properties
The polymorph energy (0 for the lowest one) comes out at 0.000 eV per atom. Its density of states at the Fermi level is 2.4 states/eV per cell.



No. 6
VASP calculation (PBE) on ScSbTe2H after structural relaxation.

```
data_ScSbTe2H
_space_group_name_H-M_alt 'P 4/m m m'
_space_group_IT_number 123
_space_group_name_Hall '-P 4 2'
_cell_length_a 5.550
_cell_length_b 5.550
_cell_length_c 5.540
_cell_angle_alpha 90.00
_cell_angle_beta 90.00
_cell_angle_gamma 90.00
loop_
_atom_site_label
_atom_site_fract_x
_atom_site_fract_y
_atom_site_fract_z
Sc1 0.000 0.000 0.000
Sb1 0.000 0.000 0.500
Te1 0.000 0.500 0.000
H1 0.500 0.500 0.500
```

## Properties
The polymorph energy (0 for the lowest one) comes out at 0.384 eV per atom. Its density of states at the Fermi level is 5.0 states/eV per cell.



No. 7
VASP calculation (PBE) on Th2Sc4Sb3H2 after structural relaxation.

```
data_Th2Sc4Sb3H2
_space_group_name_H-M_alt 'I 4/m m m'
_space_group_IT_number 139
_space_group_name_Hall '-I 4 2'
_cell_length_a 4.528
_cell_length_b 4.528
_cell_length_c 23.558
_cell_angle_alpha 90.00
_cell_angle_beta 90.00
_cell_angle_gamma 90.00
loop_
_atom_site_label
_atom_site_fract_x
_atom_site_fract_y
_atom_site_fract_z
Th1 0.000 0.000 0.194
Sc1 0.000 0.500 0.081
Sb1 0.000 0.000 0.332
Sb2 0.000 0.000 0.500
H1 0.000 0.000 0.093
```

## Properties
As for the uncorrected energy: -6.06 eV/atom. Its density of states at the Fermi level is 22.7 states/eV per cell.



No. 8
VASP calculation (PBE) on Sc2Ti2Sb2H after structural relaxation.

```
data_Sc2Ti2Sb2H
_space_group_name_H-M_alt 'I 4/m m m'
_space_group_IT_number 139
_space_group_name_Hall '-I 4 2'
_cell_length_a 4.051
_cell_length_b 4.051
_cell_length_c 15.357
_cell_angle_alpha 90.00
_cell_angle_beta 90.00
_cell_angle_gamma 90.00
loop_
_atom_site_label
_atom_site_fract_x
_atom_site_fract_y
_atom_site_fract_z
Sc1 0.000 0.000 0.174
Ti1 0.000 0.500 0.000
Sb1 0.000 0.000 0.367
H1 0.000 0.000 0.000
```

## Properties
As for the uncorrected energy: -6.45 eV/atom. Its density of states at the Fermi level is 12.6 states/eV per cell.